# Tl2NiTeO4

A relaxed structure of Tl2NiTeO4 (PBE with a Hubbard U, the Alexandria database).

```
8
Lattice="4.240 0.000 0.000 -1.569 6.312 0.000 -2.102 -2.764 5.547" Properties=species:S:1:pos:R:3 pbc="T T T"
Tl 0.000 0.000 0.000
Tl -0.032 -0.003 4.281
Ni 0.496 4.854 2.209
Te -1.751 2.463 2.434
O -1.597 4.549 2.125
O -1.560 2.566 4.327
O 0.582 2.945 2.451
O 2.011 0.340 2.763
```

Output
**Electronic total energy**: -4.597 eV per atom
**DOS at the Fermi energy**: 0.000 states/eV per cell
**V**: 18.56 A^3/atom
**Total magnetization**: 1.99 μB/cell